Rb2Ag2PdF6: relaxed, GGA-PBE.

The structure in POSCAR format:
```
Rb2Ag2PdF6
1.0
5.917 0.000 0.000
-2.958 6.922 1.488
0.000 -2.465 4.695
Rb Ag Pd F
2 2 1 6
Direct
0.722 0.444 0.186 Rb
0.278 0.556 0.814 Rb
0.950 0.901 0.733 Ag
0.050 0.099 0.267 Ag
0.500 0.000 0.500 Pd
0.799 0.597 0.737 F
0.179 0.839 0.274 F
0.340 0.161 0.726 F
0.821 0.161 0.726 F
0.660 0.839 0.274 F
0.201 0.403 0.263 F
```

E_form (uncorrected)   -1.683 eV per atom
ρ   4.7 g/cm3
DFT total energy   -3.871 eV/atom
SG   C2/m, No. 12